Crystalline CsNb3Fe at its relaxed geometry. Source: the Alexandria database, functional PBE.

Output
* total moment: 0.0 μB/f.u.
* SG: Pm-3m, No. 221
* formation energy: 1.314 eV/atom
* E_tot: -0.4845 Ry/atom
* density: 6.92 g/cm³

abc: 4.8219 4.8219 4.8219
angles: 90.00 90.00 90.00
Closest atoms and distances in Å follow each position.
Sites, in units of the cell vectors:
1 Cs 0.0000 0.0000 0.0000  12 Nb 3.41
2 Nb 0.0000 0.5000 0.5000  2 Fe 2.41
3 Nb 0.5000 0.0000 0.5000  2 Fe 2.41
4 Nb 0.5000 0.5000 0.0000  2 Fe 2.41
5 Fe 0.5000 0.5000 0.5000  6 Nb 2.41